A plane-wave DFT calculation with GGA-PBE was carried out for a relaxed structure of BaOs2.

abc: 7.1066 7.1066 7.1066
angles: 90.00 90.00 90.00
Closest atoms and distances in Å follow each position.
Positions (direct):
Ba1 0.0000 0.0000 0.0000  6 Os 3.05
Ba2 0.0000 0.5000 0.5000  6 Os 3.05
Ba3 0.5000 0.0000 0.5000  6 Os 3.05
Ba4 0.5000 0.5000 0.0000  6 Os 3.05
Os1 0.0901 0.5901 0.9099  1 Os 2.22
Os2 0.0901 0.9099 0.4099  1 Os 2.22
Os3 0.4099 0.0901 0.9099  1 Os 2.22
Os4 0.4099 0.4099 0.4099  1 Os 2.22
Os5 0.5901 0.5901 0.5901  1 Os 2.22
Os6 0.5901 0.9099 0.0901  1 Os 2.22
Os7 0.9099 0.0901 0.5901  1 Os 2.22
Os8 0.9099 0.4099 0.0901  1 Os 2.22

Summary:
Polymorph energy (0 for the lowest one) ... 2012 meV per atom
Theoretical density ... 9.58 Mg/m³
Size of the total moment ... 0.0 μB per formula unit

=====

A plane-wave DFT calculation with GGA-PBE was carried out for a relaxed structure of CePaBi2O8.

abc: 6.3802 6.3802 6.3802
angles: 110.78 110.78 106.88
Closest atoms and distances in Å follow each position.
Positions (direct):
Ce1 0.0000 0.0000 0.0000  4 O 2.26
Pa1 0.7500 0.2500 0.5000  4 O 2.18
Bi1 0.2500 0.7500 0.5000  4 O 2.16
Bi2 0.5000 0.5000 0.0000  4 O 2.20
O1 0.0316 0.3414 0.3097  1 Bi 2.16, 1 Ce 2.26
O2 0.0316 0.7219 0.6903  1 Bi 2.16, 1 Ce 2.26
O3 0.0823 0.2839 0.7984  1 Pa 2.18, 1 Bi 2.20
O4 0.2781 0.9684 0.3097  1 Bi 2.16, 1 Ce 2.26
O5 0.4856 0.2839 0.2016  1 Pa 2.18, 1 Bi 2.20
O6 0.6586 0.9684 0.6903  1 Bi 2.16, 1 Ce 2.26
O7 0.7161 0.5144 0.7984  1 Pa 2.18, 1 Bi 2.20
O8 0.7161 0.9177 0.2016  1 Pa 2.18, 1 Bi 2.20

Summary:
Theoretical density ... 7.63 Mg/m³
Formation energy without anion corrections ... -2.20 eV/atom
Size of the total moment ... 0.0 μB per formula unit